(1)
BaNa4La, relaxed, DFT PBE-GGA; total DFT energy (no corrections) = -1.859 eV/atom; ΔE_f = 162 meV per atom; Fermi-level density of states = 1.5382 states/eV per atom
1.0
0.000 4.923 4.923
4.923 0.000 4.923
4.923 4.923 0.000
Ba Na La
1 4 1
Direct
0.000 0.000 0.000
0.128 0.624 0.624
0.624 0.128 0.624
0.624 0.624 0.128
0.624 0.624 0.624
0.250 0.250 0.250

---

(2)
Ba2NaLaNi, relaxed, DFT PBE-GGA; total DFT energy (no corrections) = -3.148 eV/atom; ΔE_f = 26 meV per atom; Fermi-level density of states = 0.9642 states/eV per atom
1.0
6.423 0.000 0.000
0.000 6.423 0.000
0.000 0.000 5.337
Ba Na La Ni
2 1 1 1
Direct
0.000 0.500 0.000
0.500 0.000 0.000
0.000 0.000 0.500
0.500 0.500 0.500
0.500 0.500 0.000

---

(3)
Ba2NaLaO, relaxed, DFT PBE-GGA; total DFT energy (no corrections) = -3.985 eV/atom; formation energy from raw total energies = -0.9746 eV/atom; Fermi-level density of states = 0.9070 states/eV per atom
1.0
6.378 0.000 0.000
0.000 6.378 0.000
0.000 0.000 4.617
Ba Na La O
2 1 1 1
Direct
0.000 0.500 0.000
0.500 0.000 0.000
0.000 0.000 0.500
0.500 0.500 0.500
0.500 0.500 0.000